# 1
DFT (GGA-PBE) results for an optimized crystal structure of LiScZnSb.

The calculation puts the relative energy among the computed polymorphs at 0.277 eV/atom.

It has space group F-43m (No. 216), with a = 6.864 Å, b = 6.864 Å, c = 6.864 Å, α = 90.00°, β = 90.00° and γ = 90.00°. The asymmetric unit holds Li at (0.000, 0.000, 0.000), Sc at (0.250, 0.250, 0.250), Zn at (0.250, 0.250, 0.750) and Sb at (0.000, 0.000, 0.500).

=====

# 2
DFT (GGA-PBE) results for an optimized crystal structure of LiScZnSb.

The calculation puts the relative energy among the computed polymorphs at 0.000 eV/atom.

It has space group F-43m (No. 216), with a = 6.785 Å, b = 6.785 Å, c = 6.785 Å, α = 90.00°, β = 90.00° and γ = 90.00°. The asymmetric unit holds Li at (0.000, 0.000, 0.000), Sc at (0.000, 0.000, 0.500), Zn at (0.250, 0.250, 0.250) and Sb at (0.250, 0.250, 0.750).

=====

# 3
DFT (GGA-PBE) results for an optimized crystal structure of LiScZnSb.

The calculation puts the relative energy among the computed polymorphs at 0.229 eV/atom.

It has space group F-43m (No. 216), with a = 6.771 Å, b = 6.771 Å, c = 6.771 Å, α = 90.00°, β = 90.00° and γ = 90.00°. The asymmetric unit holds Li at (0.000, 0.000, 0.000), Sc at (0.250, 0.250, 0.750), Zn at (0.000, 0.000, 0.500) and Sb at (0.250, 0.250, 0.250).

=====

# 4
DFT (GGA-PBE) results for an optimized crystal structure of Li2TaSbSe4.

It has space group P-6m2 (No. 187), with a = 3.6658 Å, b = 3.6658 Å, c = 13.8449 Å, α = 90.00°, β = 90.00° and γ = 120.00°. The asymmetric unit holds Li at (0.0000, 0.0000, 0.2437), Ta at (0.0000, 0.0000, 0.0000), Sb at (0.0000, 0.0000, 0.5000), Se at (0.3333, 0.6667, 0.3588) and Se at (0.6667, 0.3333, 0.1168).

=====

# 5
DFT (GGA-PBE) results for an optimized crystal structure of LiSmSb2.

It has space group P4/nmm (No. 129, origin choice 2), with a = 4.315 Å, b = 4.315 Å, c = 10.736 Å, α = 90.00°, β = 90.00° and γ = 90.00°. The asymmetric unit holds Li at (0.250, 0.750, 0.000), Sm at (0.250, 0.250, 0.265), Sb at (0.250, 0.250, 0.835) and Sb at (0.250, 0.750, 0.500).

=====

# 6
DFT (GGA-PBE) results for an optimized crystal structure of LiSbW.

The calculation puts the relative energy among the computed polymorphs at 0.000 eV/atom.

It has space group F-43m (No. 216), with a = 6.283 Å, b = 6.283 Å, c = 6.283 Å, α = 90.00°, β = 90.00° and γ = 90.00°. The asymmetric unit holds Li at (0.000, 0.000, 0.000), Sb at (0.250, 0.250, 0.750) and W at (0.000, 0.000, 0.500).

=====

# 7
DFT (GGA-PBE) results for an optimized crystal structure of LiSb5W3.

It has space group P6/mmm (No. 191), with a = 5.5787 Å, b = 5.5787 Å, c = 8.5823 Å, α = 90.00°, β = 90.00° and γ = 120.00°. The asymmetric unit holds Li at (0.0000, 0.0000, 0.0000), Sb at (0.0000, 0.0000, 0.5000), Sb at (0.3333, 0.6667, 0.2208) and W at (0.0000, 0.5000, 0.5000).

=====

# 8
DFT (GGA-PBE) results for an optimized crystal structure of LiSc2Tc.

The calculation puts the relative energy among the computed polymorphs at 0.426 eV/atom.

It has space group P6_3/mmc (No. 194), with a = 4.4260 Å, b = 4.4260 Å, c = 9.7789 Å, α = 90.00°, β = 90.00° and γ = 120.00°. The asymmetric unit holds Li at (0.3333, 0.6667, 0.2500), Sc at (0.3333, 0.6667, 0.5838) and Tc at (0.0000, 0.0000, 0.0000).

=====

# 9
DFT (GGA-PBE) results for an optimized crystal structure of LiSc2Tc.

The calculation puts the relative energy among the computed polymorphs at 0.356 eV/atom.

It has space group F-43m (No. 216), with a = 6.545 Å, b = 6.545 Å, c = 6.545 Å, α = 90.00°, β = 90.00° and γ = 90.00°. The asymmetric unit holds Li at (0.000, 0.000, 0.000), Sc at (0.000, 0.000, 0.500), Sc at (0.250, 0.250, 0.750) and Tc at (0.250, 0.250, 0.250).

=====

# 10
DFT (GGA-PBE) results for an optimized crystal structure of LiSc2Tc.

The calculation puts the relative energy among the computed polymorphs at 0.000 eV/atom.

It has space group P4/mmm (No. 123), with a = 3.277 Å, b = 3.277 Å, c = 7.450 Å, α = 90.00°, β = 90.00° and γ = 90.00°. The asymmetric unit holds Li at (0.000, 0.000, 0.000), Sc at (0.500, 0.500, 0.298) and Tc at (0.000, 0.000, 0.500).

=====

# 11
DFT (GGA-PBE) results for an optimized crystal structure of LiSc2Tc.

The calculation puts the relative energy among the computed polymorphs at 0.017 eV/atom.

It has space group Fm-3m (No. 225), with a = 6.564 Å, b = 6.564 Å, c = 6.564 Å, α = 90.00°, β = 90.00° and γ = 90.00°. The asymmetric unit holds Li at (0.000, 0.000, 0.000), Sc at (0.250, 0.250, 0.250) and Tc at (0.000, 0.000, 0.500).

=====

# 12
DFT (GGA-PBE) results for an optimized crystal structure of LiSc2Tc.

The calculation puts the relative energy among the computed polymorphs at 0.474 eV/atom.

It has space group P6_3/mmc (No. 194), with a = 4.8762 Å, b = 4.8762 Å, c = 7.5316 Å, α = 90.00°, β = 90.00° and γ = 120.00°. The asymmetric unit holds Li at (0.0000, 0.0000, 0.0000), Sc at (0.3333, 0.6667, 0.0800) and Tc at (0.3333, 0.6667, 0.7500).

=====

no.,volume (Å³/cell),VASP energy (eV per atom)
1,323.46,-3.53
2,312.37,-3.80
3,310.47,-3.58
4,161.12,-4.93
5,199.87,-4.55
6,248.08,-5.64
7,231.32,-6.54
8,165.90,-5.95
9,280.35,-6.02
10,79.98,-6.37
11,282.84,-6.36
12,155.09,-5.90